[1]
# Cr2SiGe, optimized geometry, DFT PBE
# E_tot   -6.891 eV per atom
# Total magnetic moment   16.50 μB/cell
# Formation energy without anion corrections   0.43 eV/atom
data_Cr2SiGe
_chemical_formula_sum 'Cr8 Si4 Ge4'
_symmetry_space_group_name_H-M 'I -4 2 d'
_symmetry_Int_Tables_number 122
_symmetry_space_group_name_Hall 'I -4 2bw'
_cell_length_a 6.612
_cell_length_b 6.612
_cell_length_c 5.421
_cell_angle_alpha 90.00
_cell_angle_beta 90.00
_cell_angle_gamma 90.00
loop_
_atom_site_label
_atom_site_fract_x
_atom_site_fract_y
_atom_site_fract_z
_atom_site_occupancy
Cr1 0.237 0.250 0.125 1
Si1 0.000 0.000 0.000 1
Ge1 0.000 0.000 0.500 1

---

[2]
# NaMgNi3, optimized geometry, DFT PBE
# Formation energy   0.99 eV per atom
# E_tot   -3.067 eV per atom
# Total magnetic moment   0.29 μB/cell
data_NaMgNi3
_chemical_formula_sum 'Na1 Mg1 Ni3'
_symmetry_space_group_name_H-M 'P m -3 m'
_symmetry_Int_Tables_number 221
_symmetry_space_group_name_Hall '-P 4 2 3'
_cell_length_a 4.537
_cell_length_b 4.537
_cell_length_c 4.537
_cell_angle_alpha 90.00
_cell_angle_beta 90.00
_cell_angle_gamma 90.00
loop_
_atom_site_label
_atom_site_fract_x
_atom_site_fract_y
_atom_site_fract_z
_atom_site_occupancy
Na1 0.000 0.000 0.000 1
Mg1 0.500 0.500 0.500 1
Ni1 0.000 0.500 0.500 1

---

Repeat the first record exactly.
# Cr2SiGe, optimized geometry, DFT PBE
# E_tot   -6.891 eV per atom
# Total magnetic moment   16.50 μB/cell
# Formation energy without anion corrections   0.43 eV/atom
data_Cr2SiGe
_chemical_formula_sum 'Cr8 Si4 Ge4'
_symmetry_space_group_name_H-M 'I -4 2 d'
_symmetry_Int_Tables_number 122
_symmetry_space_group_name_Hall 'I -4 2bw'
_cell_length_a 6.612
_cell_length_b 6.612
_cell_length_c 5.421
_cell_angle_alpha 90.00
_cell_angle_beta 90.00
_cell_angle_gamma 90.00
loop_
_atom_site_label
_atom_site_fract_x
_atom_site_fract_y
_atom_site_fract_z
_atom_site_occupancy
Cr1 0.237 0.250 0.125 1
Si1 0.000 0.000 0.000 1
Ge1 0.000 0.000 0.500 1

---

- Which formula does entry 2 have?
  NaMgNi3

---

- The lowest E_tot belongs to which entry?
  Cr2SiGe